[1]
A plane-wave DFT calculation with PBE was carried out for a relaxed structure of Na2NpSbS4.

Structure (POSCAR):
```
Na2NpSbS4
1.0
7.018 0.000 0.000
0.000 4.042 0.000
-2.334 0.000 6.650
Na Np Sb S
2 1 1 4
Direct
0.000 0.000 0.000
0.500 0.500 0.000
0.000 0.500 0.500
0.500 0.000 0.500
0.241 0.000 0.727
0.256 0.500 0.270
0.744 0.500 0.730
0.759 0.000 0.273
```

Calculated values
E_form (uncorrected) = -0.985 eV per atom
space-group type = P2/m
electronic total energy = -5.511 eV/atom
DOS at the Fermi energy = 1.2479 states/eV/atom


[2]
A plane-wave DFT calculation with PBE was carried out for a relaxed structure of Tb2Pm8Ho.

Structure (POSCAR):
```
Tb2Pm8Ho
1.0
5.608 -3.724 0.000
5.608 3.724 0.000
-2.628 0.000 8.950
Tb Pm Ho
2 8 1
Direct
0.142 0.142 0.127
0.858 0.858 0.873
0.214 0.650 0.227
0.309 0.309 0.502
0.324 0.324 0.876
0.350 0.786 0.773
0.650 0.214 0.227
0.676 0.676 0.124
0.691 0.691 0.498
0.786 0.350 0.773
0.000 0.000 0.500
```

Calculated values
excess energy over the best structure of this formula in the dataset = 0 meV/atom
space-group type = C2/m
electronic total energy = -4.592 eV/atom
DOS at the Fermi energy = 1.6210 states/eV/atom
DFT formation energy = 0.12 eV/atom


[3]
A plane-wave DFT calculation with PBE was carried out for a relaxed structure of YTcOs3.

Structure (POSCAR):
```
YTcOs3
1.0
4.734 0.000 0.000
0.000 4.734 0.000
0.000 0.000 4.734
Y Tc Os
1 1 3
Direct
0.000 0.000 0.000
0.500 0.500 0.500
0.000 0.000 0.500
0.000 0.500 0.000
0.500 0.000 0.000
```

Calculated values
excess energy over the best structure of this formula in the dataset = 2048 meV/atom
space-group type = Pm-3m
electronic total energy = -6.809 eV/atom
DOS at the Fermi energy = 2.1389 states/eV/atom
DFT formation energy = 3.29 eV/atom


[4]
A plane-wave DFT calculation with PBE was carried out for a relaxed structure of PuZn3Pd9.

Structure (POSCAR):
```
PuZn3Pd9
1.0
2.594 -6.424 0.000
2.594 6.424 0.000
-2.329 0.000 6.308
Pu Zn Pd
1 3 9
Direct
0.000 0.000 0.000
0.000 0.500 0.000
0.500 0.000 0.000
0.500 0.500 0.500
0.000 0.000 0.500
0.018 0.665 0.660
0.288 0.509 0.784
0.335 0.982 0.340
0.491 0.712 0.216
0.509 0.288 0.784
0.665 0.018 0.660
0.712 0.491 0.216
0.982 0.335 0.340
```

Calculated values
space-group type = C2/m
electronic total energy = -5.400 eV/atom
DOS at the Fermi energy = 1.5085 states/eV/atom
DFT formation energy = -0.41 eV/atom


[5]
A plane-wave DFT calculation with PBE was carried out for a relaxed structure of TaMnRe2.

Structure (POSCAR):
```
TaMnRe2
1.0
-1.923 1.923 4.079
1.923 -1.923 4.079
1.923 1.923 -4.079
Ta Mn Re
1 1 2
Direct
0.000 0.000 0.000
0.500 0.500 0.000
0.250 0.750 0.500
0.750 0.250 0.500
```

Calculated values
space-group type = I4/mmm
electronic total energy = -11.353 eV/atom
DOS at the Fermi energy = 1.2657 states/eV/atom
DFT formation energy = 0.13 eV/atom


[6]
A plane-wave DFT calculation with PBE was carried out for a relaxed structure of Ac3Zn2Cd3.

Structure (POSCAR):
```
Ac3Zn2Cd3
1.0
2.461 -5.782 0.000
2.461 5.782 0.000
0.000 0.000 16.480
Ac Zn Cd
6 4 6
Direct
0.100 0.900 0.605
0.100 0.900 0.895
0.384 0.616 0.750
0.616 0.384 0.250
0.900 0.100 0.105
0.900 0.100 0.395
0.198 0.802 0.099
0.198 0.802 0.401
0.802 0.198 0.599
0.802 0.198 0.901
0.323 0.677 0.250
0.384 0.616 0.540
0.384 0.616 0.960
0.616 0.384 0.040
0.616 0.384 0.460
0.677 0.323 0.750
```

Calculated values
space-group type = Cmcm
electronic total energy = -2.484 eV/atom
DOS at the Fermi energy = 1.0275 states/eV/atom
DFT formation energy = -0.28 eV/atom


[7]
A plane-wave DFT calculation with PBE was carried out for a relaxed structure of Sm4Mn3Ga16.

Structure (POSCAR):
```
Sm4Mn3Ga16
1.0
6.143 0.000 0.000
0.000 6.143 0.000
0.000 0.000 11.388
Sm Mn Ga
4 3 16
Direct
0.000 0.500 0.191
0.000 0.500 0.809
0.500 0.000 0.191
0.500 0.000 0.809
0.000 0.000 0.000
0.000 0.500 0.500
0.500 0.000 0.500
0.000 0.000 0.219
0.000 0.000 0.781
0.249 0.249 0.382
0.249 0.249 0.618
0.249 0.751 0.382
0.249 0.751 0.618
0.284 0.284 0.000
0.284 0.716 0.000
0.500 0.500 0.193
0.500 0.500 0.807
0.716 0.284 0.000
0.716 0.716 0.000
0.751 0.249 0.382
0.751 0.249 0.618
0.751 0.751 0.382
0.751 0.751 0.618
```

Calculated values
space-group type = P4/mmm
electronic total energy = -4.548 eV/atom
DOS at the Fermi energy = 0.4375 states/eV/atom
DFT formation energy = -0.43 eV/atom


[8]
A plane-wave DFT calculation with PBE was carried out for a relaxed structure of TaP2Br.

Structure (POSCAR):
```
TaP2Br
1.0
4.312 -1.630 0.000
4.312 1.630 0.000
-0.908 0.000 5.658
Ta P Br
1 2 1
Direct
0.000 0.000 0.000
0.273 0.273 0.860
0.727 0.727 0.140
0.500 0.500 0.500
```

Calculated values
excess energy over the best structure of this formula in the dataset = 389 meV/atom
E_form (uncorrected) = 0.030 eV per atom
space-group type = C2/m
electronic total energy = -6.057 eV/atom
DOS at the Fermi energy = 0.6009 states/eV/atom


[9]
A plane-wave DFT calculation with PBE was carried out for a relaxed structure of ScTcP2.

Structure (POSCAR):
```
ScTcP2
1.0
1.858 1.073 5.416
-1.858 1.073 5.416
0.000 -2.146 5.416
Sc Tc P
1 1 2
Direct
0.000 0.000 0.000
0.500 0.500 0.500
0.239 0.239 0.239
0.761 0.761 0.761
```

Calculated values
excess energy over the best structure of this formula in the dataset = 107 meV/atom
space-group type = R-3m
electronic total energy = -7.616 eV/atom
DOS at the Fermi energy = 0.4745 states/eV/atom
DFT formation energy = -0.74 eV/atom


[10]
A plane-wave DFT calculation with PBE was carried out for a relaxed structure of CoRh5.

Structure (POSCAR):
```
CoRh5
1.0
2.695 0.000 0.000
-1.347 2.334 0.000
0.000 0.000 13.106
Co Rh
1 5
Direct
0.000 0.000 0.000
0.000 0.000 0.500
0.333 0.667 0.158
0.333 0.667 0.670
0.667 0.333 0.330
0.667 0.333 0.842
```

Calculated values
space-group type = P-3m1
electronic total energy = -7.283 eV/atom
DOS at the Fermi energy = 1.3127 states/eV/atom
DFT formation energy = 0.03 eV/atom


[11]
A plane-wave DFT calculation with PBE was carried out for a relaxed structure of Dy4Y2ErSc.

Structure (POSCAR):
```
Dy4Y2ErSc
1.0
4.968 0.000 0.000
0.000 4.968 0.000
0.000 0.000 9.911
Dy Y Er Sc
4 2 1 1
Direct
0.000 0.500 0.246
0.000 0.500 0.754
0.500 0.000 0.246
0.500 0.000 0.754
0.000 0.000 0.000
0.500 0.500 0.500
0.000 0.000 0.500
0.500 0.500 0.000
```

Calculated values
space-group type = P4/mmm
electronic total energy = -5.244 eV/atom
DOS at the Fermi energy = 1.5096 states/eV/atom
DFT formation energy = 0.03 eV/atom


[12]
A plane-wave DFT calculation with PBE was carried out for a relaxed structure of Nd2Cd5Ag4.

Structure (POSCAR):
```
Nd2Cd5Ag4
1.0
0.000 4.770 9.342
2.938 0.000 9.342
2.938 4.770 0.000
Nd Cd Ag
2 5 4
Direct
0.123 0.123 0.877
0.877 0.877 0.123
0.000 0.000 0.500
0.250 0.250 0.250
0.500 0.500 0.000
0.500 0.500 0.500
0.750 0.750 0.750
0.213 0.525 0.475
0.475 0.787 0.213
0.525 0.213 0.787
0.787 0.475 0.525
```

Calculated values
space-group type = Fmmm
electronic total energy = -2.494 eV/atom
DOS at the Fermi energy = 0.5710 states/eV/atom
DFT formation energy = -0.17 eV/atom


[13]
A plane-wave DFT calculation with PBE was carried out for a relaxed structure of KLi2Si.

Structure (POSCAR):
```
KLi2Si
1.0
3.064 0.000 0.000
0.000 4.282 0.000
-1.191 0.000 7.152
K Li Si
1 2 1
Direct
0.000 0.000 0.000
0.187 0.500 0.656
0.813 0.500 0.344
0.500 0.000 0.500
```

Calculated values
E_form (uncorrected) = 0.123 eV per atom
space-group type = P2/m
electronic total energy = -2.464 eV/atom
DOS at the Fermi energy = 0.5482 states/eV/atom


[14]
A plane-wave DFT calculation with PBE was carried out for a relaxed structure of BaHfS3.

Structure (POSCAR):
```
BaHfS3
1.0
-2.323 2.323 13.467
2.323 -2.323 13.467
2.323 2.323 -13.467
Ba Hf S
2 2 6
Direct
0.000 0.000 0.000
0.750 0.250 0.500
0.130 0.630 0.500
0.370 0.870 0.500
0.322 0.322 0.000
0.361 0.106 0.255
0.678 0.678 0.000
0.851 0.106 0.745
0.894 0.149 0.255
0.894 0.639 0.745
```

Calculated values
E_form (uncorrected) = -0.913 eV per atom
space-group type = I-4m2
electronic total energy = -5.765 eV/atom
DOS at the Fermi energy = 0.4652 states/eV/atom


[15]
A plane-wave DFT calculation with PBE was carried out for a relaxed structure of Li2HgB2Pt5.

Structure (POSCAR):
```
Li2HgB2Pt5
1.0
9.629 0.000 0.000
0.000 9.629 0.000
0.000 0.000 3.127
Li Hg B Pt
4 2 4 10
Direct
0.175 0.325 0.000
0.325 0.825 0.000
0.675 0.175 0.000
0.825 0.675 0.000
0.000 0.000 0.000
0.500 0.500 0.000
0.126 0.626 0.000
0.374 0.126 0.000
0.626 0.874 0.000
0.874 0.374 0.000
0.000 0.500 0.500
0.072 0.774 0.500
0.226 0.072 0.500
0.274 0.572 0.500
0.428 0.274 0.500
0.500 0.000 0.500
0.572 0.726 0.500
0.726 0.428 0.500
0.774 0.928 0.500
0.928 0.226 0.500
```

Calculated values
space-group type = P4/mbm
electronic total energy = -5.147 eV/atom
DOS at the Fermi energy = 0.3434 states/eV/atom
DFT formation energy = -0.38 eV/atom


[16]
A plane-wave DFT calculation with PBE was carried out for a relaxed structure of Er3Tm2Sc7.

Structure (POSCAR):
```
Er3Tm2Sc7
1.0
1.747 -18.806 0.000
1.747 18.806 0.000
0.000 0.000 5.238
Er Tm Sc
3 2 7
Direct
0.000 0.000 0.000
0.327 0.673 0.500
0.673 0.327 0.500
0.137 0.863 0.000
0.863 0.137 0.000
0.083 0.917 0.500
0.216 0.784 0.000
0.433 0.567 0.000
0.500 0.500 0.500
0.567 0.433 0.000
0.784 0.216 0.000
0.917 0.083 0.500
```

Calculated values
excess energy over the best structure of this formula in the dataset = 157 meV/atom
space-group type = Cmmm
electronic total energy = -5.324 eV/atom
DOS at the Fermi energy = 1.6898 states/eV/atom
DFT formation energy = 0.26 eV/atom


[17]
A plane-wave DFT calculation with PBE was carried out for a relaxed structure of BaRe3Pb.

Structure (POSCAR):
```
BaRe3Pb
1.0
5.151 0.000 0.000
0.000 5.151 0.000
0.000 0.000 5.151
Ba Re Pb
1 3 1
Direct
0.000 0.000 0.000
0.000 0.500 0.500
0.500 0.000 0.500
0.500 0.500 0.000
0.500 0.500 0.500
```

Calculated values
excess energy over the best structure of this formula in the dataset = 0 meV/atom
space-group type = Pm-3m
electronic total energy = -6.006 eV/atom
DOS at the Fermi energy = 1.6368 states/eV/atom
DFT formation energy = 2.59 eV/atom


[18]
A plane-wave DFT calculation with PBE was carried out for a relaxed structure of ScBeOs.

Structure (POSCAR):
```
ScBeOs
1.0
3.972 0.000 0.000
-1.986 3.440 0.000
0.000 0.000 3.308
Sc Be Os
1 1 1
Direct
0.000 0.000 0.000
0.667 0.333 0.500
0.333 0.667 0.500
```

Calculated values
space-group type = P-6m2
electronic total energy = -7.312 eV/atom
DOS at the Fermi energy = 0.4990 states/eV/atom
DFT formation energy = -0.22 eV/atom